Entry 1:
Entry from the Alexandria database: SrBeIn2Mo after structural relaxation (PBE).

Cell and atoms, written as POSCAR:
```
SrBeIn2Mo
1.0
4.909 0.000 0.000
0.000 4.909 0.000
0.000 0.000 4.737
Sr Mo Be In
1 1 1 2
Cartesian
2.454 2.454 2.368
0.000 0.000 2.368
0.000 0.000 0.000
0.000 2.454 0.000
2.454 0.000 0.000
```

The value obtained for the formation energy is 467 meV/atom. The uncorrected energy is -19.380 eV for the cell shown. As for the density of states at the Fermi level: 2.4 states/eV/f.u.



Entry 2:
Entry from the Alexandria database: BeTl2InMo after structural relaxation (PBE).

Cell and atoms, written as POSCAR:
```
BeTl2InMo
1.0
4.870 0.000 0.000
0.000 4.650 0.000
0.000 0.000 4.870
Be Tl Mo In
1 2 1 1
Cartesian
0.000 0.000 0.000
0.000 0.000 2.435
2.435 0.000 0.000
0.000 2.325 0.000
2.435 2.325 2.435
```

The offset from the most stable computed form is 0.00 eV per formula unit. The value obtained for the formation energy is 798 meV/atom. The uncorrected energy is -18.037 eV for the cell shown. As for the density of states at the Fermi level: 3.3 states/eV/f.u.



Entry 3:
Entry from the Alexandria database: BeTl2InMo after structural relaxation (PBE).

Cell and atoms, written as POSCAR:
```
BeTl2InMo
1.0
4.948 0.000 0.000
0.000 4.886 0.000
0.000 0.000 4.948
Be Tl Mo In
1 2 1 1
Cartesian
0.000 0.000 0.000
0.000 0.000 2.474
2.474 0.000 0.000
2.474 2.443 2.474
0.000 2.443 0.000
```

The offset from the most stable computed form is 1.16 eV per formula unit. The value obtained for the formation energy is 1030 meV/atom. The uncorrected energy is -16.877 eV for the cell shown. As for the density of states at the Fermi level: 2.4 states/eV/f.u.



Entry 4:
Entry from the Alexandria database: BeZnInMo2 after structural relaxation (PBE).

Cell and atoms, written as POSCAR:
```
BeZnInMo2
1.0
5.113 0.000 0.000
0.000 4.714 0.000
0.000 0.000 5.113
Be Mo Zn In
1 2 1 1
Cartesian
2.557 2.357 2.557
0.000 0.000 2.557
2.557 0.000 0.000
0.000 2.357 0.000
0.000 0.000 0.000
```

The value obtained for the formation energy is 2242 meV/atom. The uncorrected energy is -18.193 eV for the cell shown. As for the density of states at the Fermi level: 5.2 states/eV/f.u.